[1]
Below is Sm3Dy8Er2 after structural relaxation, with properties calculated at the PBE level.

Summary:
Space-group type: C2/m, No. 12
Energy above the lowest structure with this stoichiometry, meV/atom: 0

Structure (CIF):
```
data_Sm3Dy8Er2
_cell_length_a 5.028
_cell_length_b 7.953
_cell_length_c 10.658
_cell_angle_alpha 85.75
_cell_angle_beta 103.63
_cell_angle_gamma 89.97
_space_group_name_H-M_alt 'P 1'
_space_group_IT_number 1
_space_group_name_Hall 'P 1'
loop_
_atom_site_label
_atom_site_type_symbol
_atom_site_fract_x
_atom_site_fract_y
_atom_site_fract_z
Dy1 Dy 0.155 0.770 0.311
Dy2 Dy 0.845 0.230 0.689
Dy3 Dy 0.307 0.538 0.614
Dy4 Dy 0.383 0.922 0.766
Dy5 Dy 0.617 0.078 0.234
Dy6 Dy 0.922 0.615 0.844
Dy7 Dy 0.693 0.462 0.386
Dy8 Dy 0.078 0.385 0.156
Sm1 Sm 0.538 0.693 0.077
Sm2 Sm 0.000 0.000 0.000
Sm3 Sm 0.462 0.307 0.923
Er1 Er 0.769 0.846 0.538
Er2 Er 0.231 0.154 0.462
```

***

[2]
Below is Sm3Dy3Er4 after structural relaxation, with properties calculated at the PBE level.

Summary:
Space-group type: Amm2, No. 38

Structure (CIF):
```
data_Sm3Dy3Er4
_cell_length_a 3.661
_cell_length_b 9.391
_cell_length_c 9.391
_cell_angle_alpha 90.14
_cell_angle_beta 90.00
_cell_angle_gamma 90.00
_space_group_name_H-M_alt 'P 1'
_space_group_IT_number 1
_space_group_name_Hall 'P 1'
loop_
_atom_site_label
_atom_site_type_symbol
_atom_site_fract_x
_atom_site_fract_y
_atom_site_fract_z
Dy1 Dy 0.000 0.497 0.999
Dy2 Dy 0.000 0.001 0.503
Dy3 Dy 0.500 0.174 0.826
Er1 Er 0.000 0.375 0.625
Er2 Er 0.000 0.126 0.123
Er3 Er 0.000 0.625 0.375
Er4 Er 0.000 0.877 0.874
Sm1 Sm 0.500 0.326 0.326
Sm2 Sm 0.500 0.827 0.173
Sm3 Sm 0.500 0.674 0.674
```

***

[3]
Below is SmDy4Er6 after structural relaxation, with properties calculated at the PBE level.

Summary:
Space-group type: I-42m, No. 121
Energy above the lowest structure with this stoichiometry, meV/atom: 334

Structure (CIF):
```
data_SmDy4Er6
_cell_length_a 7.627
_cell_length_b 7.627
_cell_length_c 8.410
_cell_angle_alpha 116.97
_cell_angle_beta 116.97
_cell_angle_gamma 90.00
_space_group_name_H-M_alt 'P 1'
_space_group_IT_number 1
_space_group_name_Hall 'P 1'
loop_
_atom_site_label
_atom_site_type_symbol
_atom_site_fract_x
_atom_site_fract_y
_atom_site_fract_z
Dy1 Dy 0.908 0.908 0.151
Dy2 Dy 0.757 0.092 0.849
Dy3 Dy 0.092 0.757 0.849
Dy4 Dy 0.243 0.243 0.151
Er1 Er 0.500 0.000 0.000
Er2 Er 0.437 0.933 0.370
Er3 Er 0.067 0.067 0.630
Er4 Er 0.000 0.500 0.000
Er5 Er 0.563 0.563 0.630
Er6 Er 0.933 0.437 0.370
Sm1 Sm 0.500 0.500 0.000
```

***

[4]
Below is Sm4Dy5Er4 after structural relaxation, with properties calculated at the PBE level.

Summary:
Space-group type: I4/m, No. 87

Structure (CIF):
```
data_Sm4Dy5Er4
_cell_length_a 5.019
_cell_length_b 9.414
_cell_length_c 9.414
_cell_angle_alpha 85.93
_cell_angle_beta 74.54
_cell_angle_gamma 74.54
_space_group_name_H-M_alt 'P 1'
_space_group_IT_number 1
_space_group_name_Hall 'P 1'
loop_
_atom_site_label
_atom_site_type_symbol
_atom_site_fract_x
_atom_site_fract_y
_atom_site_fract_z
Sm1 Sm 0.078 0.539 0.305
Sm2 Sm 0.922 0.461 0.695
Sm3 Sm 0.617 0.305 0.461
Sm4 Sm 0.383 0.695 0.539
Dy1 Dy 0.691 0.849 0.770
Dy2 Dy 0.309 0.151 0.230
Dy3 Dy 0.461 0.230 0.849
Dy4 Dy 0.539 0.770 0.151
Dy5 Dy 0.000 0.000 0.000
Er1 Er 0.230 0.616 0.924
Er2 Er 0.770 0.384 0.076
Er3 Er 0.154 0.076 0.616
Er4 Er 0.846 0.924 0.384
```

***

Number 1: energy relative to the elements 0.25 eV/f.u., VASP energy -4.6035 eV/atom, V 31.77 Å³ per atom. Number 2: energy relative to the elements 0.93 eV/f.u., VASP energy -4.5281 eV/atom, V 32.29 Å³ per atom. Number 3: energy relative to the elements 5.04 eV/f.u., VASP energy -4.1333 eV/atom, V 34.13 Å³ per atom. Number 4: energy relative to the elements 0.23 eV/f.u., VASP energy -4.6081 eV/atom, V 31.78 Å³ per atom.